CrRuN2F | PBE+U | optimized geometry

Calculated values
- total magnetization (μB/f.u.) = 4.1
- crystal system = tetragonal
- electronic total energy (eV/atom) = -6.40
- polymorph energy (0 for the lowest one) (meV per atom) = 390
- D(E_F) (states/eV/cell) = 5.4

Cell: 3.8777 3.8777 3.7221 Å, 90.00 90.00 90.00°
Fractional coordinates of all 5 atoms:
Cr 0.0000 0.0000 0.0000
Ru 0.5000 0.5000 0.5000
N 0.0000 0.5000 0.0000
N 0.5000 0.0000 0.0000
F 0.0000 0.0000 0.5000